Entry 1:
TlTc3F | PBE | optimized geometry

```
TlTc3F
1.0
-3.552 2.124 -1.149
-2.365 -3.474 0.889
-0.490 1.368 4.042
Tl Tc F
1 3 1
direct
0.500 0.500 0.500
0.000 0.500 0.000
0.000 0.000 0.500
0.500 0.000 0.000
0.000 0.000 0.000
```

Output
The calculation puts the density of states at the Fermi level at 5.532 states/eV/f.u. The space group is No. 221. The calculation puts the calculated volume at 15.8 A^3/atom. The energy relative to the elements, uncorrected is 0.963 eV/atom. As for the total magnetization: 3.24 μB/f.u.

Entry 2:
ZnMoRu | PBE | optimized geometry

```
ZnMoRu
1.0
5.159 -0.032 0.000
3.362 3.913 0.000
-4.260 -1.941 2.167
Ru Mo Zn
1 1 1
direct
0.338 0.338 0.000
0.991 0.991 0.000
0.671 0.671 0.000
```

Output
The calculation puts the density of states at the Fermi level at 1.663 states/eV/f.u. The space group is No. 107. Its formation energy is -15 meV/atom. The calculation puts the calculated volume at 14.7 A^3/atom. As for the total magnetization: 0.00 μB/f.u.

Entry 3:
PrSm4Hg4 | PBE | optimized geometry

```
PrSm4Hg4
1.0
-3.549 1.508 -4.170
6.540 -2.766 -6.567
-3.775 -8.905 -0.009
Pr Sm Hg
2 8 8
direct
0.000 0.000 0.000
0.500 0.500 0.500
0.404 0.412 0.847
0.904 0.653 0.912
0.404 0.588 0.153
0.096 0.088 0.653
0.596 0.847 0.588
0.096 0.912 0.347
0.904 0.347 0.088
0.596 0.153 0.412
0.596 0.895 0.206
0.596 0.105 0.794
0.096 0.706 0.605
0.904 0.395 0.706
0.904 0.605 0.294
0.404 0.206 0.105
0.404 0.794 0.895
0.096 0.294 0.395
```

Output
The calculation puts the density of states at the Fermi level at 7.088 states/eV/f.u. The space group is No. 86. Its formation energy is -264 meV/atom. The calculation puts the calculated volume at 29.5 A^3/atom. As for the total magnetization: 0.00 μB/f.u.

Entry 4:
Ho2Al4ZnAg3 | PBE | optimized geometry

```
Ho2Al4ZnAg3
1.0
4.220 0.000 0.000
0.000 4.220 0.000
0.000 0.000 11.054
Ho Al Zn Ag
2 4 1 3
direct
0.500 0.000 0.255
0.000 0.500 0.745
0.500 0.500 0.000
0.000 0.000 0.000
0.500 0.000 0.635
0.000 0.500 0.365
0.500 0.500 0.500
0.000 0.000 0.500
0.500 0.000 0.861
0.000 0.500 0.139
```

Output
The calculation puts the density of states at the Fermi level at 5.733 states/eV/f.u. The space group is No. 115. Its formation energy is -307 meV/atom. The calculation puts the calculated volume at 19.7 A^3/atom. As for the total magnetization: 0.00 μB/f.u.

Entry 5:
RbSeBr3 | PBE | optimized geometry

```
RbSeBr3
1.0
2.855 0.284 8.038
7.693 2.948 2.230
1.260 7.225 4.364
Se Br Rb
2 6 2
direct
0.087 0.087 0.087
0.913 0.913 0.913
0.325 0.204 0.726
0.204 0.726 0.325
0.274 0.675 0.796
0.796 0.274 0.675
0.675 0.796 0.274
0.726 0.325 0.204
0.270 0.270 0.270
0.730 0.730 0.730
```

Output
The calculation puts the density of states at the Fermi level at 0.000 states/eV/f.u. The space group is No. 148. The calculation puts the calculated volume at 39.9 A^3/atom. The energy relative to the elements, uncorrected is -0.680 eV/atom. As for the total magnetization: 0.00 μB/f.u.

Entry 6:
Hf2NbS2 | PBE | optimized geometry

```
Hf2NbS2
1.0
7.541 0.000 0.000
0.000 7.541 0.000
0.000 0.000 3.115
Nb Hf S
2 4 4
direct
0.000 0.000 0.000
0.500 0.500 0.000
0.347 0.847 0.000
0.847 0.653 0.000
0.653 0.153 0.000
0.153 0.347 0.000
0.142 0.642 0.500
0.642 0.858 0.500
0.858 0.358 0.500
0.358 0.142 0.500
```

Output
The calculation puts the density of states at the Fermi level at 5.343 states/eV/f.u. The space group is No. 127. The calculation puts the calculated volume at 17.7 A^3/atom. The energy relative to the elements, uncorrected is -0.328 eV/atom. As for the total magnetization: 0.00 μB/f.u.

Entry 7:
PmScPa2N4 | PBE | optimized geometry

```
PmScPa2N4
1.0
6.937 0.004 -0.044
-0.001 6.937 -0.044
-3.459 -3.462 4.950
Pm Sc Pa N
2 2 4 8
direct
0.000 0.500 0.000
0.000 0.500 0.500
0.500 0.500 0.500
0.000 0.000 0.000
0.500 0.000 0.000
0.500 0.000 0.500
0.000 0.000 0.500
0.500 0.500 0.000
0.265 0.771 0.018
0.729 0.235 0.482
0.271 0.765 0.518
0.735 0.229 0.982
0.742 0.758 0.995
0.742 0.758 0.505
0.258 0.242 0.495
0.258 0.242 0.005
```

Output
The calculation puts the density of states at the Fermi level at 3.574 states/eV/f.u. The space group is No. 74. The calculation puts the calculated volume at 14.8 A^3/atom. The energy relative to the elements, uncorrected is -1.601 eV/atom. As for the total magnetization: 0.00 μB/f.u.

Entry 8:
Sr7Bi2Pb2 | PBE | optimized geometry

```
Sr7Bi2Pb2
1.0
7.996 -0.004 -0.227
0.003 8.042 0.004
-0.725 -0.003 7.967
Sr Bi Pb
7 2 2
direct
0.000 0.265 0.500
0.500 0.735 0.000
0.000 0.735 0.500
0.500 0.265 0.000
0.000 0.000 0.000
0.500 0.738 0.500
0.500 0.262 0.500
0.724 0.000 0.276
0.276 0.000 0.724
0.773 0.500 0.773
0.227 0.500 0.227
```

Output
The calculation puts the density of states at the Fermi level at 3.641 states/eV/f.u. The space group is No. 65. Its formation energy is -531 meV/atom. The calculation puts the calculated volume at 46.5 A^3/atom. As for the total magnetization: 0.00 μB/f.u.

Entry 9:
AcSiBiPd | PBE | optimized geometry

```
AcSiBiPd
1.0
5.228 0.000 0.000
2.614 4.528 0.000
2.614 1.509 4.269
Ac Si Bi Pd
1 1 1 1
direct
0.750 0.750 0.750
0.000 0.000 0.000
0.250 0.250 0.250
0.500 0.500 0.500
```

Output
The calculation puts the density of states at the Fermi level at 2.619 states/eV/f.u. The space group is No. 216. The calculation puts the calculated volume at 25.3 A^3/atom. The energy relative to the elements, uncorrected is -0.301 eV/atom. As for the total magnetization: 0.00 μB/f.u.

Entry 10:
RbSi2HgCl | PBE | optimized geometry

```
RbSi2HgCl
1.0
5.015 0.000 0.000
0.000 6.443 0.000
0.000 0.000 5.015
Si Hg Rb Cl
2 1 1 1
direct
0.000 0.000 0.500
0.500 0.000 0.000
0.000 0.500 0.000
0.500 0.500 0.500
0.000 0.000 0.000
```

Output
The calculation puts the density of states at the Fermi level at 3.340 states/eV/f.u. The space group is No. 123. The calculation puts the calculated volume at 32.4 A^3/atom. The energy relative to the elements, uncorrected is 0.565 eV/atom. As for the total magnetization: 0.00 μB/f.u.

Entry 11:
Sm12Y2Ho | PBE | optimized geometry

```
Sm12Y2Ho
1.0
6.607 -1.536 0.000
-1.536 6.607 0.000
0.000 0.000 24.784
Sm Y Ho
24 4 2
direct
0.500 0.500 0.801
0.000 0.000 0.801
0.751 0.749 0.925
0.251 0.751 0.872
0.000 0.000 0.325
0.249 0.749 0.128
0.768 0.268 0.586
0.500 0.500 0.325
0.249 0.251 0.925
0.749 0.751 0.075
0.272 0.228 0.561
0.732 0.232 0.414
0.000 0.000 0.675
0.228 0.272 0.439
0.251 0.249 0.075
0.772 0.728 0.439
0.728 0.772 0.561
0.000 0.000 0.199
0.232 0.732 0.586
0.500 0.500 0.675
0.749 0.249 0.872
0.500 0.500 0.199
0.268 0.768 0.414
0.751 0.251 0.128
0.500 0.000 0.266
0.000 0.500 0.270
0.000 0.500 0.734
0.500 0.000 0.730
0.500 0.000 0.000
0.000 0.500 0.000
```

Output
The calculation puts the density of states at the Fermi level at 23.412 states/eV/f.u. The space group is No. 67. Its formation energy is 157 meV/atom. The calculation puts the calculated volume at 34.1 A^3/atom. As for the total magnetization: 0.00 μB/f.u.

Entry 12:
MgBe2Mo | PBE | optimized geometry

```
MgBe2Mo
1.0
2.742 0.000 0.000
0.000 3.416 0.000
0.000 0.000 5.705
Be Mo Mg
2 1 1
direct
0.000 0.000 0.956
0.000 0.000 0.544
0.500 0.500 0.750
0.500 0.500 0.250
```

Output
The calculation puts the density of states at the Fermi level at 2.236 states/eV/f.u. The space group is No. 47. Its formation energy is 203 meV/atom. The calculation puts the calculated volume at 13.4 A^3/atom. As for the total magnetization: 0.00 μB/f.u.

Entry 13:
OsSCl | PBE | optimized geometry

```
OsSCl
1.0
-0.758 -2.720 2.180
5.690 -0.525 0.218
-2.207 5.578 3.790
S Os Cl
2 2 2
direct
0.092 0.706 0.919
0.641 0.191 0.888
0.214 0.160 0.086
0.634 0.608 0.094
0.826 0.070 0.321
0.300 0.586 0.352
```

Output
The calculation puts the density of states at the Fermi level at 0.094 states/eV/f.u. The space group is No. 1. The calculation puts the calculated volume at 21.5 A^3/atom. The energy relative to the elements, uncorrected is -0.103 eV/atom. As for the total magnetization: 0.00 μB/f.u.

Entry 14:
Li2TbCeSe4 | PBE | optimized geometry

```
Li2TbCeSe4
1.0
-1.822 0.172 -3.728
5.794 -3.048 -2.973
-4.507 -4.869 1.978
Li Tb Ce Se
2 1 1 4
direct
0.500 0.000 0.500
0.000 0.500 0.500
0.000 0.000 0.000
0.500 0.500 0.000
0.500 0.246 0.255
0.500 0.754 0.745
0.000 0.241 0.742
0.000 0.759 0.258
```

Output
The calculation puts the density of states at the Fermi level at 6.241 states/eV/f.u. The space group is No. 10. The calculation puts the calculated volume at 24.3 A^3/atom. The energy relative to the elements, uncorrected is -1.642 eV/atom. As for the total magnetization: 1.00 μB/f.u.

Entry 15:
CaCu3H6 | PBE | optimized geometry

```
CaCu3H6
1.0
4.213 0.000 -2.258
-2.712 3.937 0.000
0.033 0.023 5.122
Ca Cu H
1 3 6
direct
0.798 0.899 0.697
0.675 0.337 0.012
0.332 0.666 0.998
0.277 0.138 0.415
0.342 0.431 0.735
0.176 0.771 0.225
0.819 0.048 0.225
0.304 0.912 0.735
0.823 0.392 0.735
0.454 0.405 0.225
```

Output
The calculation puts the density of states at the Fermi level at 1.441 states/eV/f.u. The space group is No. 146. The calculation puts the calculated volume at 8.5 A^3/atom. As for the total magnetization: 0.00 μB/f.u. The raw total energy is -3.450 eV per atom.

Entry 16:
MnFeIr2 | PBE | optimized geometry

```
MnFeIr2
1.0
4.522 0.017 0.000
-1.374 4.309 0.000
0.000 0.000 2.680
Fe Ir Mn
1 2 1
direct
0.000 0.500 0.500
0.000 0.000 0.000
0.500 0.500 0.000
0.500 0.000 0.500
```

Output
The calculation puts the density of states at the Fermi level at 5.031 states/eV/f.u. The space group is No. 65. Its formation energy is -79 meV/atom. The calculation puts the calculated volume at 13.1 A^3/atom. As for the total magnetization: 3.70 μB/f.u.

Entry 17:
CsS3F | PBE | optimized geometry

```
CsS3F
1.0
8.657 0.000 0.017
-0.003 4.419 0.280
-0.005 0.413 8.140
Cs S F
2 6 2
direct
0.447 0.741 0.397
0.947 0.160 0.250
0.168 0.886 0.830
0.512 0.342 0.872
0.131 0.256 0.647
0.668 0.016 0.816
0.012 0.559 0.776
0.631 0.646 0.000
0.120 0.635 0.367
0.620 0.266 0.280
```

Output
The calculation puts the density of states at the Fermi level at 0.000 states/eV/f.u. The space group is No. 1. The calculation puts the calculated volume at 31.0 A^3/atom. The energy relative to the elements, uncorrected is -0.989 eV/atom. As for the total magnetization: 0.00 μB/f.u.

Entry 18:
Y10In3Bi3 | PBE | optimized geometry

```
Y10In3Bi3
1.0
6.619 0.000 0.000
0.000 7.853 -4.534
0.000 0.000 9.068
Y In Bi
10 3 3
direct
0.243 0.667 0.333
0.243 0.333 0.667
0.757 0.333 0.667
0.757 0.667 0.333
0.500 0.000 0.764
0.500 0.764 0.000
0.500 0.236 0.236
0.000 0.000 0.237
0.000 0.237 0.000
0.000 0.763 0.763
0.000 0.000 0.605
0.000 0.605 0.000
0.000 0.395 0.395
0.500 0.000 0.396
0.500 0.396 0.000
0.500 0.604 0.604
```

Output
The calculation puts the density of states at the Fermi level at 11.836 states/eV/f.u. The space group is No. 189. Its formation energy is -608 meV/atom. The calculation puts the calculated volume at 29.5 A^3/atom. As for the total magnetization: 0.00 μB/f.u.

Entry 19:
Ca2Ga4Pt3 | PBE | optimized geometry

```
Ca2Ga4Pt3
1.0
5.260 0.000 -2.061
0.000 7.827 0.000
0.146 0.000 8.116
Ca Ga Pt
4 8 6
direct
0.110 0.599 0.219
0.890 0.401 0.781
0.390 0.099 0.781
0.610 0.901 0.219
0.689 0.750 0.878
0.811 0.250 0.122
0.311 0.250 0.122
0.189 0.750 0.878
0.183 0.981 0.367
0.817 0.019 0.633
0.317 0.481 0.633
0.683 0.519 0.367
0.000 0.000 0.000
0.500 0.500 0.000
0.521 0.750 0.541
0.979 0.250 0.459
0.479 0.250 0.459
0.021 0.750 0.541
```

Output
The calculation puts the density of states at the Fermi level at 4.714 states/eV/f.u. The space group is No. 64. Its formation energy is -804 meV/atom. The calculation puts the calculated volume at 18.7 A^3/atom. As for the total magnetization: 0.00 μB/f.u.

Entry 20:
RhAuBr2 | PBE | optimized geometry

```
RhAuBr2
1.0
-4.331 1.653 -1.606
-4.025 -2.755 0.525
-3.469 1.312 3.211
Rh Au Br
1 1 2
direct
0.750 0.750 0.750
0.500 0.500 0.500
0.000 0.000 0.000
0.250 0.250 0.250
```

Output
The calculation puts the density of states at the Fermi level at 4.317 states/eV/f.u. The space group is No. 216. The calculation puts the calculated volume at 20.9 A^3/atom. The energy relative to the elements, uncorrected is 0.792 eV/atom. As for the total magnetization: 1.92 μB/f.u.

Entry 21:
DyPuCd | PBE | optimized geometry

```
DyPuCd
1.0
3.218 0.000 0.000
0.000 5.359 0.000
0.000 -2.679 4.641
Cd Dy Pu
1 1 1
direct
0.003 0.000 0.000
0.299 0.667 0.333
0.698 0.333 0.667
```

Output
The calculation puts the density of states at the Fermi level at 8.272 states/eV/f.u. The space group is No. 156. Its formation energy is 48 meV/atom. The calculation puts the calculated volume at 26.7 A^3/atom. As for the total magnetization: 5.99 μB/f.u.

Entry 22:
AcSm4Ho2Er | PBE | optimized geometry

```
AcSm4Ho2Er
1.0
-4.926 -3.171 -0.793
1.755 -3.774 4.184
-1.898 0.544 9.607
Ac Sm Ho Er
1 4 2 1
direct
0.500 0.500 0.000
0.000 0.772 0.728
0.000 0.228 0.272
0.500 0.727 0.273
0.500 0.273 0.727
0.000 0.000 0.000
0.500 0.000 0.500
0.000 0.500 0.500
```

Output
The calculation puts the density of states at the Fermi level at 17.534 states/eV/f.u. The space group is No. 123. Its formation energy is 131 meV/atom. The calculation puts the calculated volume at 34.2 A^3/atom. As for the total magnetization: 0.00 μB/f.u.